Entry 1:
First-principles (PBE-GGA) data for an optimized crystal structure of Er2SI2, as listed in Alexandria via LeMat-Bulk.

Output
Formation energy without anion corrections ... -1.57 eV per atom
Calculated total energy ... -48.41 eV for the cell shown

Unit cell a=7.0055 b=4.0447 c=11.8302 alpha=90.00 beta=102.78 gamma=90.00
Closest atoms and distances in Å follow each position.
Fractional positions:
Er (0.2111, 0.0000, 0.1189)  3 S 2.71
Er (0.2889, 0.5000, 0.8811)  3 S 2.71
Er (0.7111, 0.5000, 0.1189)  3 S 2.71
Er (0.7889, 0.0000, 0.8811)  3 S 2.71
S (0.0000, 0.5000, 0.0000)  6 Er 2.71
S (0.5000, 0.0000, 0.0000)  6 Er 2.71
I (0.0563, 0.0000, 0.7046)  3 Er 3.10
I (0.4437, 0.5000, 0.2954)  3 Er 3.10
I (0.5563, 0.5000, 0.7046)  3 Er 3.10
I (0.9437, 0.0000, 0.2954)  3 Er 3.10

=====

Entry 2:
First-principles (PBE-GGA) data for an optimized crystal structure of Er3SI7, as listed in Alexandria via LeMat-Bulk.

Output
Formation energy without anion corrections ... -1.47 eV per atom
Calculated total energy ... -44.88 eV for the cell shown

Unit cell a=8.5482 b=8.5482 c=7.7126 alpha=90.00 beta=90.00 gamma=120.00
Closest atoms and distances in Å follow each position.
Fractional positions:
Er (0.0206, 0.5103, 0.0000)  1 S 2.62
Er (0.4897, 0.5103, 0.0000)  1 S 2.62
Er (0.4897, 0.9794, 0.0000)  1 S 2.62
S (0.3333, 0.6667, 0.1598)  3 Er 2.62
I (0.1671, 0.3342, 0.7607)  2 Er 3.02
I (0.1671, 0.8329, 0.7607)  2 Er 3.02
I (0.3379, 0.1690, 0.2164)  2 Er 3.03
I (0.6658, 0.8329, 0.7607)  2 Er 3.02
I (0.6667, 0.3333, 0.7661)  3 Er 3.18
I (0.8310, 0.1690, 0.2164)  2 Er 3.03
I (0.8310, 0.6621, 0.2164)  2 Er 3.03

=====

Entry 3:
First-principles (PBE-GGA) data for an optimized crystal structure of Er4S5I, as listed in Alexandria via LeMat-Bulk.

Output
Formation energy without anion corrections ... -1.70 eV per atom
Calculated total energy ... -114.91 eV for the cell shown

Unit cell a=8.1367 b=10.4229 c=6.6708 alpha=90.00 beta=90.00 gamma=90.00
Closest atoms and distances in Å follow each position.
Fractional positions:
Er (0.0296, 0.2500, 0.0172)  3 S 2.56-2.69
Er (0.2500, 0.0316, 0.5052)  5 S 2.68-2.70
Er (0.2500, 0.4684, 0.5052)  5 S 2.68-2.70
Er (0.4704, 0.2500, 0.0172)  3 S 2.56-2.69
Er (0.5296, 0.7500, 0.9828)  3 S 2.56-2.69
Er (0.7500, 0.5316, 0.4948)  5 S 2.68-2.70
Er (0.7500, 0.9684, 0.4948)  5 S 2.68-2.70
Er (0.9704, 0.7500, 0.9828)  3 S 2.56-2.69
S (0.0084, 0.5597, 0.7437)  3 Er 2.56-2.70
S (0.0084, 0.9403, 0.7437)  3 Er 2.56-2.70
S (0.2500, 0.2500, 0.7163)  4 Er 2.68-2.69
S (0.4916, 0.5597, 0.7437)  3 Er 2.56-2.70
S (0.4916, 0.9403, 0.7437)  3 Er 2.56-2.70
S (0.5084, 0.0597, 0.2563)  3 Er 2.56-2.70
S (0.5084, 0.4403, 0.2563)  3 Er 2.56-2.70
S (0.7500, 0.7500, 0.2837)  4 Er 2.68-2.69
S (0.9916, 0.0597, 0.2563)  3 Er 2.56-2.70
S (0.9916, 0.4403, 0.2563)  3 Er 2.56-2.70
I (0.2500, 0.7500, 0.2978)  4 Er 3.10-3.24
I (0.7500, 0.2500, 0.7022)  4 Er 3.10-3.24

=====

Entry 4:
First-principles (PBE-GGA) data for an optimized crystal structure of ErS8I2, as listed in Alexandria via LeMat-Bulk.

Output
Formation energy without anion corrections ... -0.08 eV per atom
Calculated total energy ... -41.60 eV for the cell shown

Unit cell a=8.6066 b=8.6066 c=11.4723 alpha=128.82 beta=128.82 gamma=41.82
Closest atoms and distances in Å follow each position.
Fractional positions:
Er (0.0000, 0.0000, 0.0000)  4 S 2.80, 2 I 2.93
S (0.1429, 0.6203, 0.7314)  2 S 2.13-2.23
S (0.2827, 0.2827, 0.7262)  2 S 2.13
S (0.3797, 0.8571, 0.2686)  2 S 2.13-2.23
S (0.4803, 0.4803, 0.1667)  2 S 2.23
S (0.5197, 0.5197, 0.8333)  2 S 2.23
S (0.6203, 0.1429, 0.7314)  2 S 2.13-2.23
S (0.7173, 0.7173, 0.2738)  2 S 2.13
S (0.8571, 0.3797, 0.2686)  2 S 2.13-2.23
I (0.1249, 0.1249, 0.8978)  1 Er 2.93
I (0.8751, 0.8751, 0.1022)  1 Er 2.93

=====

Entry 5:
First-principles (PBE-GGA) data for an optimized crystal structure of ErScI6, as listed in Alexandria via LeMat-Bulk.

Output
Offset from the most stable computed form ... 27 meV/atom
Formation energy without anion corrections ... -1.22 eV per atom
Calculated total energy ... -29.98 eV for the cell shown

Unit cell a=7.9669 b=7.9669 c=7.9669 alpha=55.85 beta=55.85 gamma=55.85
Closest atoms and distances in Å follow each position.
Fractional positions:
Er (0.0000, 0.0000, 0.0000)  6 I 3.02
Sc (0.5000, 0.5000, 0.5000)  6 I 2.91
I (0.1005, 0.7434, 0.4107)  1 Sc 2.91, 1 Er 3.02
I (0.2566, 0.5893, 0.8995)  1 Sc 2.91, 1 Er 3.02
I (0.4107, 0.1005, 0.7434)  1 Sc 2.91, 1 Er 3.02
I (0.5893, 0.8995, 0.2566)  1 Sc 2.91, 1 Er 3.02
I (0.7434, 0.4107, 0.1005)  1 Sc 2.91, 1 Er 3.02
I (0.8995, 0.2566, 0.5893)  1 Sc 2.91, 1 Er 3.02

=====

Entry 6:
First-principles (PBE-GGA) data for an optimized crystal structure of ErSc2I6, as listed in Alexandria via LeMat-Bulk.

Output
Formation energy without anion corrections ... -1.13 eV per atom
Calculated total energy ... -36.66 eV for the cell shown

Unit cell a=8.6865 b=8.6865 c=11.2348 alpha=115.34 beta=115.34 gamma=26.98
Closest atoms and distances in Å follow each position.
Fractional positions:
Er (0.0000, 0.0000, 0.0000)  6 I 3.02-3.03
Sc (0.3167, 0.3167, 0.6394)  6 I 2.91-3.14
Sc (0.6833, 0.6833, 0.3606)  6 I 2.91-3.14
I (0.0360, 0.0360, 0.2885)  1 Er 3.02, 2 Sc 3.03
I (0.3148, 0.3148, 0.3795)  3 Sc 2.91-2.95
I (0.3535, 0.3535, 0.9388)  2 Er 3.03, 1 Sc 3.14
I (0.6465, 0.6465, 0.0612)  2 Er 3.03, 1 Sc 3.14
I (0.6852, 0.6852, 0.6205)  3 Sc 2.91-2.95
I (0.9640, 0.9640, 0.7115)  1 Er 3.02, 2 Sc 3.03

=====

Entry 7:
First-principles (PBE-GGA) data for an optimized crystal structure of ErScI5, as listed in Alexandria via LeMat-Bulk.

Output
Formation energy without anion corrections ... -1.20 eV per atom
Calculated total energy ... -54.11 eV for the cell shown

Unit cell a=9.5437 b=4.0213 c=15.3956 alpha=90.00 beta=90.18 gamma=90.00
Closest atoms and distances in Å follow each position.
Fractional positions:
Er (0.1600, 0.2500, 0.1843)  6 I 3.02-3.08
Er (0.8400, 0.7500, 0.8157)  6 I 3.02-3.08
Sc (0.4203, 0.7500, 0.3610)  7 I 3.00-3.24
Sc (0.5797, 0.2500, 0.6390)  7 I 3.00-3.24
I (0.0702, 0.2500, 0.7802)  2 Er 3.03
I (0.1893, 0.2500, 0.3837)  2 Sc 3.00, 1 Er 3.08
I (0.2242, 0.7500, 0.0434)  2 Er 3.02
I (0.3714, 0.7500, 0.5694)  3 Sc 3.02-3.24
I (0.4769, 0.2500, 0.2143)  1 Er 3.06, 2 Sc 3.07
I (0.5231, 0.7500, 0.7857)  1 Er 3.06, 2 Sc 3.07
I (0.6286, 0.2500, 0.4306)  3 Sc 3.02-3.24
I (0.7758, 0.2500, 0.9566)  2 Er 3.02
I (0.8107, 0.7500, 0.6163)  2 Sc 3.00, 1 Er 3.08
I (0.9298, 0.7500, 0.2198)  2 Er 3.03

=====

Entry 8:
First-principles (PBE-GGA) data for an optimized crystal structure of ErScI6, as listed in Alexandria via LeMat-Bulk.

Output
Offset from the most stable computed form ... 0 meV/atom
Formation energy without anion corrections ... -1.25 eV per atom
Calculated total energy ... -60.40 eV for the cell shown

Unit cell a=7.2612 b=14.6720 c=7.2603 alpha=90.00 beta=108.62 gamma=90.00
Closest atoms and distances in Å follow each position.
Fractional positions:
Er (0.0000, 0.0000, 0.0000)  6 I 3.00-3.02
Er (0.5000, 0.5000, 0.0000)  6 I 3.00-3.02
Sc (0.0000, 0.5000, 0.5000)  6 I 2.90-2.91
Sc (0.5000, 0.0000, 0.5000)  6 I 2.90-2.91
I (0.2408, 0.3587, 0.7421)  1 Sc 2.91, 1 Er 3.02
I (0.2408, 0.6413, 0.7421)  1 Sc 2.91, 1 Er 3.02
I (0.2465, 0.5000, 0.2550)  1 Sc 2.90, 1 Er 3.00
I (0.2535, 0.0000, 0.7450)  1 Sc 2.90, 1 Er 3.00
I (0.2592, 0.1413, 0.2579)  1 Sc 2.91, 1 Er 3.02
I (0.2592, 0.8587, 0.2579)  1 Sc 2.91, 1 Er 3.02
I (0.7408, 0.1413, 0.7421)  1 Sc 2.91, 1 Er 3.02
I (0.7408, 0.8587, 0.7421)  1 Sc 2.91, 1 Er 3.02
I (0.7465, 0.0000, 0.2550)  1 Sc 2.90, 1 Er 3.00
I (0.7535, 0.5000, 0.7450)  1 Sc 2.90, 1 Er 3.00
I (0.7592, 0.3587, 0.2579)  1 Sc 2.91, 1 Er 3.02
I (0.7592, 0.6413, 0.2579)  1 Sc 2.91, 1 Er 3.02

=====

Entry 9:
First-principles (PBE-GGA) data for an optimized crystal structure of Er2SeI, as listed in Alexandria via LeMat-Bulk.

Output
Offset from the most stable computed form ... 0 meV/atom
Formation energy without anion corrections ... -1.13 eV per atom
Calculated total energy ... -56.09 eV for the cell shown

Unit cell a=3.8582 b=3.8582 c=24.3192 alpha=90.00 beta=90.00 gamma=120.00
Closest atoms and distances in Å follow each position.
Fractional positions:
Er (0.0000, 0.0000, 0.0000)  3 Se 2.84
Er (0.0000, 0.0000, 0.1899)  3 Se 2.82
Er (0.3333, 0.6667, 0.6667)  3 Se 2.84
Er (0.3333, 0.6667, 0.8566)  3 Se 2.82
Er (0.6667, 0.3333, 0.3333)  3 Se 2.84
Er (0.6667, 0.3333, 0.5232)  3 Se 2.82
Se (0.0000, 0.0000, 0.5945)  6 Er 2.82-2.84
Se (0.3333, 0.6667, 0.2612)  6 Er 2.82-2.84
Se (0.6667, 0.3333, 0.9278)  6 Er 2.82-2.84
I (0.0000, 0.0000, 0.4270)  6 Er 3.19-3.23
I (0.3333, 0.6667, 0.0937)  6 Er 3.19-3.23
I (0.6667, 0.3333, 0.7604)  6 Er 3.19-3.23

=====

Entry 10:
First-principles (PBE-GGA) data for an optimized crystal structure of Er2SeI, as listed in Alexandria via LeMat-Bulk.

Output
Offset from the most stable computed form ... 31 meV/atom
Formation energy without anion corrections ... -1.10 eV per atom
Calculated total energy ... -55.71 eV for the cell shown

Unit cell a=3.9218 b=3.9218 c=24.1576 alpha=90.00 beta=90.00 gamma=120.00
Closest atoms and distances in Å follow each position.
Fractional positions:
Er (0.0000, 0.0000, 0.2328)  3 Se 2.77
Er (0.0000, 0.0000, 0.7672)  3 Se 2.77
Er (0.3333, 0.6667, 0.4339)  3 Se 2.77
Er (0.3333, 0.6667, 0.8994)  3 Se 2.77
Er (0.6667, 0.3333, 0.1006)  3 Se 2.77
Er (0.6667, 0.3333, 0.5661)  3 Se 2.77
Se (0.0000, 0.0000, 0.5000)  6 Er 2.77
Se (0.3333, 0.6667, 0.1667)  6 Er 2.77
Se (0.6667, 0.3333, 0.8333)  6 Er 2.77
I (0.0000, 0.0000, 0.0000)  6 Er 3.32
I (0.3333, 0.6667, 0.6667)  6 Er 3.32
I (0.6667, 0.3333, 0.3333)  6 Er 3.32